Ce3H3Au | GGA-PBE | optimized geometry

Structure (POSCAR):
```
Ce3H3Au
1.0
6.316 0.000 0.000
0.000 6.316 0.000
0.000 0.000 6.316
Ce H Au
6 6 2
Cartesian
0.000 1.579 3.158
3.158 0.000 1.579
3.158 0.000 4.737
0.000 4.737 3.158
4.737 3.158 0.000
1.579 3.158 0.000
1.579 0.000 3.158
3.158 1.579 0.000
4.737 0.000 3.158
3.158 4.737 0.000
0.000 3.158 1.579
0.000 3.158 4.737
0.000 0.000 0.000
3.158 3.158 3.158
```

## Properties
* total moment: 3.744 μB/f.u.
* volume: 18.00 Å³/atom
* DOS(E_F): 36.57 states/eV per cell
* energy: -66.891 eV/cell
* crystal system: cubic

***

AcCe2PrSb4 | GGA-PBE | optimized geometry

Structure (POSCAR):
```
AcCe2PrSb4
1.0
4.592 0.000 0.000
0.000 7.954 -0.158
0.000 2.800 7.453
Sb Ce Ac Pr
4 2 1 1
Cartesian
2.296 6.748 1.765
4.592 2.606 1.908
2.296 4.006 5.529
0.000 8.148 5.387
0.000 2.800 7.453
2.296 1.400 3.726
2.296 6.777 7.374
0.000 5.377 3.647
```

## Properties
* total moment: 1.566 μB/f.u.
* volume: 34.28 Å³/atom
* DOS(E_F): 12.71 states/eV per cell
* formation energy without anion corrections: -1.11 eV/atom
* energy: -46.152 eV/cell
* crystal system: monoclinic

***

Pm2DyHf | GGA-PBE | optimized geometry

Structure (POSCAR):
```
Pm2DyHf
1.0
-1.790 -2.590 -3.710
4.551 -0.513 -1.839
0.588 -4.147 2.611
Hf Pm Dy
1 2 1
Cartesian
-0.895 -1.295 -1.855
2.276 -0.256 -0.919
0.294 -2.073 1.306
1.674 -3.625 -1.468
```

## Properties
* total moment: 0.000 μB/f.u.
* volume: 29.63 Å³/atom
* DOS(E_F): 4.75 states/eV per cell
* distance to the lowest polymorph of the same formula: 12 meV per atom
* energy: -23.388 eV/cell
* crystal system: tetragonal